# PBE YSiOs2, optimized geometry
data_YSiOs2
_chemical_formula_sum 'Y3 Si3 Os6'
_cell_length_a 3.2125
_cell_length_b 3.2125
_cell_length_c 23.2516
_cell_angle_alpha 90.00
_cell_angle_beta 90.00
_cell_angle_gamma 120.00
_space_group_name_H-M_alt 'R -3 m'
_space_group_IT_number 166
_space_group_name_Hall '-R 3 2"'
loop_
_atom_site_label
_atom_site_fract_x
_atom_site_fract_y
_atom_site_fract_z
_atom_site_occupancy
Y1 0.0000 0.0000 0.0000 1
Si1 0.0000 0.0000 0.5000 1
Os1 0.0000 0.0000 0.2354 1
# Final energy, eV per atom: -8.384
# Formation energy from raw total energies, meV/atom: 202
# ρ, kg/m³: 11925
# Total magnetic moment, μB per formula unit: 0.000